[1]
# SbIrOs4, relaxed, DFT GGA-PBE
# **Density of states at the Fermi level**: 40.312 states/eV/cell
# **M_tot**: 0.00 μB per formula unit
# **Raw formation energy**: 1035.0 meV per atom
# **Electronic total energy**: -8.62 eV/atom
data_SbIrOs4
_chemical_formula_sum 'Sb4 Ir4 Os16'
_symmetry_space_group_name_H-M 'F -4 3 m'
_symmetry_Int_Tables_number 216
_symmetry_space_group_name_Hall 'F -4 2 3'
_cell_length_a 7.3679
_cell_length_b 7.3679
_cell_length_c 7.3679
_cell_angle_alpha 90.00
_cell_angle_beta 90.00
_cell_angle_gamma 90.00
loop_
_atom_site_label
_atom_site_type_symbol
_atom_site_fract_x
_atom_site_fract_y
_atom_site_fract_z
_atom_site_occupancy
Sb1 Sb 0.0000 0.0000 0.0000 1
Ir1 Ir 0.2500 0.2500 0.7500 1
Os1 Os 0.1236 0.1236 0.3764 1

---

[2]
# SbIr2Os, relaxed, DFT GGA-PBE
# **Density of states at the Fermi level**: 4.315 states/eV/cell
# **M_tot**: 0.00 μB per formula unit
# **Raw formation energy**: 303.9 meV per atom
# **Electronic total energy**: -7.96 eV/atom
data_SbIr2Os
_chemical_formula_sum 'Sb1 Ir2 Os1'
_symmetry_space_group_name_H-M 'P 4/m m m'
_symmetry_Int_Tables_number 123
_symmetry_space_group_name_Hall '-P 4 2'
_cell_length_a 3.9779
_cell_length_b 3.9779
_cell_length_c 4.0008
_cell_angle_alpha 90.00
_cell_angle_beta 90.00
_cell_angle_gamma 90.00
loop_
_atom_site_label
_atom_site_type_symbol
_atom_site_fract_x
_atom_site_fract_y
_atom_site_fract_z
_atom_site_occupancy
Sb1 Sb 0.0000 0.0000 0.0000 1
Ir1 Ir 0.0000 0.5000 0.5000 1
Os1 Os 0.5000 0.5000 0.0000 1

---

[3]
# SbIr2Os, relaxed, DFT GGA-PBE
# **Density of states at the Fermi level**: 6.398 states/eV/cell
# **M_tot**: 0.00 μB per formula unit
# **Raw formation energy**: 360.9 meV per atom
# **Electronic total energy**: -7.91 eV/atom
data_SbIr2Os
_chemical_formula_sum 'Sb2 Ir4 Os2'
_symmetry_space_group_name_H-M 'I -4 m 2'
_symmetry_Int_Tables_number 119
_symmetry_space_group_name_Hall 'I -4 -2'
_cell_length_a 4.0743
_cell_length_b 4.0743
_cell_length_c 7.6295
_cell_angle_alpha 90.00
_cell_angle_beta 90.00
_cell_angle_gamma 90.00
loop_
_atom_site_label
_atom_site_type_symbol
_atom_site_fract_x
_atom_site_fract_y
_atom_site_fract_z
_atom_site_occupancy
Sb1 Sb 0.0000 0.0000 0.0000 1
Ir1 Ir 0.0000 0.0000 0.5000 1
Ir2 Ir 0.0000 0.5000 0.7500 1
Os1 Os 0.0000 0.5000 0.2500 1

---

[4]
# SbIr2Os, relaxed, DFT GGA-PBE
# **Density of states at the Fermi level**: 6.594 states/eV/cell
# **M_tot**: 0.00 μB per formula unit
# **Raw formation energy**: 341.1 meV per atom
# **Electronic total energy**: -7.93 eV/atom
data_SbIr2Os
_chemical_formula_sum 'Sb2 Ir4 Os2'
_symmetry_space_group_name_H-M 'C m m m'
_symmetry_Int_Tables_number 65
_symmetry_space_group_name_Hall '-C 2 2'
_cell_length_a 5.5632
_cell_length_b 7.9378
_cell_length_c 2.8846
_cell_angle_alpha 90.00
_cell_angle_beta 90.00
_cell_angle_gamma 90.00
loop_
_atom_site_label
_atom_site_type_symbol
_atom_site_fract_x
_atom_site_fract_y
_atom_site_fract_z
_atom_site_occupancy
Sb1 Sb 0.0000 0.0000 0.0000 1
Ir1 Ir 0.2500 0.2500 0.5000 1
Os1 Os 0.0000 0.5000 0.0000 1

---

[5]
# SbIrOs, relaxed, DFT GGA-PBE
# **Density of states at the Fermi level**: 10.219 states/eV/cell
# **E above lowest polymorph**: 40.8 kJ/mol of atoms
# **M_tot**: 0.00 μB per formula unit
# **Raw formation energy**: 850.6 meV per atom
# **Electronic total energy**: -7.22 eV/atom
data_SbIrOs
_chemical_formula_sum 'Sb4 Ir4 Os4'
_symmetry_space_group_name_H-M 'F m m 2'
_symmetry_Int_Tables_number 42
_symmetry_space_group_name_Hall 'F 2 -2'
_cell_length_a 2.8464
_cell_length_b 5.0871
_cell_length_c 14.5455
_cell_angle_alpha 90.00
_cell_angle_beta 90.00
_cell_angle_gamma 90.00
loop_
_atom_site_label
_atom_site_type_symbol
_atom_site_fract_x
_atom_site_fract_y
_atom_site_fract_z
_atom_site_occupancy
Sb1 Sb 0.0000 0.0000 0.0000 1
Ir1 Ir 0.0000 0.0000 0.6773 1
Os1 Os 0.0000 0.0000 0.3280 1

---

[6]
# SbIr2Os, relaxed, DFT GGA-PBE
# **Density of states at the Fermi level**: 3.002 states/eV/cell
# **M_tot**: 0.00 μB per formula unit
# **Raw formation energy**: 334.9 meV per atom
# **Electronic total energy**: -7.93 eV/atom
data_SbIr2Os
_chemical_formula_sum 'Sb1 Ir2 Os1'
_symmetry_space_group_name_H-M 'P m m 2'
_symmetry_Int_Tables_number 25
_symmetry_space_group_name_Hall 'P 2 -2'
_cell_length_a 2.8685
_cell_length_b 4.5106
_cell_length_c 4.9766
_cell_angle_alpha 90.00
_cell_angle_beta 90.00
_cell_angle_gamma 90.00
loop_
_atom_site_label
_atom_site_type_symbol
_atom_site_fract_x
_atom_site_fract_y
_atom_site_fract_z
_atom_site_occupancy
Sb1 Sb 0.0000 0.0000 0.0000 1
Ir1 Ir 0.5000 0.0000 0.4829 1
Ir2 Ir 0.5000 0.5000 0.8123 1
Os1 Os 0.0000 0.5000 0.3536 1

---

[7]
# SbIr2Os, relaxed, DFT GGA-PBE
# **Density of states at the Fermi level**: 2.783 states/eV/cell
# **M_tot**: 0.00 μB per formula unit
# **Raw formation energy**: 356.7 meV per atom
# **Electronic total energy**: -7.91 eV/atom
data_SbIr2Os
_chemical_formula_sum 'Sb1 Ir2 Os1'
_symmetry_space_group_name_H-M 'P 1 2/m 1'
_symmetry_Int_Tables_number 10
_symmetry_space_group_name_Hall '-P 2y'
_cell_length_a 4.7115
_cell_length_b 2.9071
_cell_length_c 4.8335
_cell_angle_alpha 90.00
_cell_angle_beta 106.36
_cell_angle_gamma 90.00
loop_
_atom_site_label
_atom_site_type_symbol
_atom_site_fract_x
_atom_site_fract_y
_atom_site_fract_z
_atom_site_occupancy
Sb1 Sb 0.0000 0.0000 0.0000 1
Ir1 Ir 0.0000 0.5000 0.5000 1
Ir2 Ir 0.5000 0.0000 0.5000 1
Os1 Os 0.5000 0.5000 0.0000 1

---

[8]
# SbIrOs3, relaxed, DFT GGA-PBE
# **Density of states at the Fermi level**: 5.932 states/eV/cell
# **M_tot**: 0.00 μB per formula unit
# **Raw formation energy**: 2129.1 meV per atom
# **Electronic total energy**: -7.21 eV/atom
data_SbIrOs3
_chemical_formula_sum 'Sb1 Ir1 Os3'
_symmetry_space_group_name_H-M 'P m -3 m'
_symmetry_Int_Tables_number 221
_symmetry_space_group_name_Hall '-P 4 2 3'
_cell_length_a 4.7443
_cell_length_b 4.7443
_cell_length_c 4.7443
_cell_angle_alpha 90.00
_cell_angle_beta 90.00
_cell_angle_gamma 90.00
loop_
_atom_site_label
_atom_site_type_symbol
_atom_site_fract_x
_atom_site_fract_y
_atom_site_fract_z
_atom_site_occupancy
Sb1 Sb 0.0000 0.0000 0.0000 1
Ir1 Ir 0.5000 0.5000 0.5000 1
Os1 Os 0.0000 0.5000 0.5000 1

---

[9]
# SbIr2Os, relaxed, DFT GGA-PBE
# **Density of states at the Fermi level**: 5.375 states/eV/cell
# **M_tot**: 0.00 μB per formula unit
# **Raw formation energy**: 332.1 meV per atom
# **Electronic total energy**: -7.94 eV/atom
data_SbIr2Os
_chemical_formula_sum 'Sb2 Ir4 Os2'
_symmetry_space_group_name_H-M 'C 1 m 1'
_symmetry_Int_Tables_number 8
_symmetry_space_group_name_Hall 'C -2y'
_cell_length_a 9.0523
_cell_length_b 2.9056
_cell_length_c 5.0140
_cell_angle_alpha 90.00
_cell_angle_beta 101.96
_cell_angle_gamma 90.00
loop_
_atom_site_label
_atom_site_type_symbol
_atom_site_fract_x
_atom_site_fract_y
_atom_site_fract_z
_atom_site_occupancy
Sb1 Sb 0.0000 0.0000 0.0000 1
Ir1 Ir 0.2502 0.0000 0.7482 1
Ir2 Ir 0.4936 0.0000 0.4926 1
Os1 Os 0.2471 0.5000 0.2906 1

---

[10]
# SbIr2Os, relaxed, DFT GGA-PBE
# **Density of states at the Fermi level**: 2.669 states/eV/cell
# **M_tot**: 0.00 μB per formula unit
# **Raw formation energy**: 460.8 meV per atom
# **Electronic total energy**: -7.81 eV/atom
data_SbIr2Os
_chemical_formula_sum 'Sb1 Ir2 Os1'
_symmetry_space_group_name_H-M 'P 4 m m'
_symmetry_Int_Tables_number 99
_symmetry_space_group_name_Hall 'P 4 -2'
_cell_length_a 2.9308
_cell_length_b 2.9308
_cell_length_c 7.5765
_cell_angle_alpha 90.00
_cell_angle_beta 90.00
_cell_angle_gamma 90.00
loop_
_atom_site_label
_atom_site_type_symbol
_atom_site_fract_x
_atom_site_fract_y
_atom_site_fract_z
_atom_site_occupancy
Sb1 Sb 0.0000 0.0000 0.0000 1
Ir1 Ir 0.0000 0.0000 0.5081 1
Ir2 Ir 0.5000 0.5000 0.2585 1
Os1 Os 0.5000 0.5000 0.7297 1

---

[11]
# SbIr2Os, relaxed, DFT GGA-PBE
# **Density of states at the Fermi level**: 10.252 states/eV/cell
# **M_tot**: 0.00 μB per formula unit
# **Raw formation energy**: 528.9 meV per atom
# **Electronic total energy**: -7.74 eV/atom
data_SbIr2Os
_chemical_formula_sum 'Sb2 Ir4 Os2'
_symmetry_space_group_name_H-M 'I m m m'
_symmetry_Int_Tables_number 71
_symmetry_space_group_name_Hall '-I 2 2'
_cell_length_a 2.8615
_cell_length_b 4.7794
_cell_length_c 9.4800
_cell_angle_alpha 90.00
_cell_angle_beta 90.00
_cell_angle_gamma 90.00
loop_
_atom_site_label
_atom_site_type_symbol
_atom_site_fract_x
_atom_site_fract_y
_atom_site_fract_z
_atom_site_occupancy
Sb1 Sb 0.0000 0.0000 0.0000 1
Ir1 Ir 0.0000 0.5000 0.2477 1
Os1 Os 0.0000 0.0000 0.5000 1

---

[12]
# SbIr2Os, relaxed, DFT GGA-PBE
# **Density of states at the Fermi level**: 3.907 states/eV/cell
# **M_tot**: 0.00 μB per formula unit
# **Raw formation energy**: 493.6 meV per atom
# **Electronic total energy**: -7.77 eV/atom
data_SbIr2Os
_chemical_formula_sum 'Sb1 Ir2 Os1'
_symmetry_space_group_name_H-M 'P m m m'
_symmetry_Int_Tables_number 47
_symmetry_space_group_name_Hall '-P 2 2'
_cell_length_a 2.8767
_cell_length_b 4.7352
_cell_length_c 4.7357
_cell_angle_alpha 90.00
_cell_angle_beta 90.00
_cell_angle_gamma 90.00
loop_
_atom_site_label
_atom_site_type_symbol
_atom_site_fract_x
_atom_site_fract_y
_atom_site_fract_z
_atom_site_occupancy
Sb1 Sb 0.0000 0.0000 0.0000 1
Ir1 Ir 0.0000 0.5000 0.5000 1
Ir2 Ir 0.5000 0.5000 0.0000 1
Os1 Os 0.5000 0.0000 0.5000 1